Material: NiPRuO2
Method: DFT, GGA+U
State: optimized geometry Values from VASP.

Cell and atoms, written as Quantum ESPRESSO input:
```
&SYSTEM
  ibrav = 0, nat = 5, ntyp = 4
/
ATOMIC_SPECIES
Ni 58.69 Ni.upf
P 30.97 P.upf
Ru 101.07 Ru.upf
O 16.00 O.upf
ATOMIC_POSITIONS angstrom
Ni 0.000 0.000 0.000
P 1.850 1.850 0.000
Ru 1.850 1.850 2.612
O 0.000 1.850 2.612
O 1.850 0.000 2.612
CELL_PARAMETERS angstrom
3.700 0.000 0.000
0.000 3.700 0.000
0.000 0.000 5.223
```

E ... -27.8 eV for the cell shown
Spin magnetization ... 0.7 μB/cell
ΔE to the lowest computed polymorph ... 0.000 eV per atom
N(E_F) ... 3.50 states/eV per cell